[1]
Tl3ReSe: optimized geometry, PBE.

## Properties
The value obtained for the energy relative to the elements, uncorrected is 0.736 eV per atom. The energy above the most stable polymorph in this dataset comes out at 0 meV/atom. As for the space group: Pm-3m, No. 221.

a b c (Å): 5.374 5.374 5.374
angles (deg): 90.00 90.00 90.00
Each line ends with the local moment (μB).
Positions (direct):
Tl1 0.000 0.000 0.500  0.02
Re1 0.000 0.000 0.000  1.40
Tl2 0.500 0.000 0.000  -0.02
Tl3 0.000 0.500 0.000  0.02
Se1 0.500 0.500 0.500  0.39

***

[2]
Tl2ReSe: optimized geometry, PBE.

## Properties
The value obtained for the energy relative to the elements, uncorrected is 0.850 eV per atom. The energy above the most stable polymorph in this dataset comes out at 591 meV/atom. As for the space group: P4/mmm, No. 123.

a b c (Å): 2.825 2.825 12.358
angles (deg): 90.00 90.00 90.00
Positions (direct):
Tl1 0.000 0.000 0.040
Tl2 0.000 0.000 0.460
Se1 0.500 0.500 0.750
Re1 0.500 0.500 0.250

***

[3]
Tl2ReSe: optimized geometry, PBE.

## Properties
The value obtained for the energy relative to the elements, uncorrected is 0.995 eV per atom. The energy above the most stable polymorph in this dataset comes out at 736 meV/atom. As for the space group: Pmmm, No. 47.

a b c (Å): 3.260 5.067 5.381
angles (deg): 90.00 90.00 90.00
Each line ends with the local moment (μB).
Positions (direct):
Re1 0.500 0.000 0.500  1.75
Tl1 0.500 0.500 0.000  0.00
Tl2 0.000 0.000 0.000  -0.03
Se1 0.000 0.500 0.500  -0.04

***

[4]
TlRe3Se: optimized geometry, PBE.

## Properties
The value obtained for the energy relative to the elements, uncorrected is 3.478 eV per atom. The energy above the most stable polymorph in this dataset comes out at 1711 meV/atom. As for the space group: Pm-3m, No. 221.

a b c (Å): 4.973 4.973 4.973
angles (deg): 90.00 90.00 90.00
Each line ends with the local moment (μB).
Positions (direct):
Se1 0.500 0.500 0.500  -0.14
Re1 0.000 0.000 0.500  1.02
Re2 0.500 0.000 0.000  0.91
Re3 0.000 0.500 0.000  1.00
Tl1 0.000 0.000 0.000  0.01

***

[5]
Tl2ReSe: optimized geometry, PBE.

## Properties
The value obtained for the energy relative to the elements, uncorrected is 0.941 eV per atom. The energy above the most stable polymorph in this dataset comes out at 682 meV/atom. As for the space group: P4/mmm, No. 123.

a b c (Å): 3.647 3.647 6.389
angles (deg): 90.00 90.00 90.00
Positions (direct):
Re1 0.500 0.500 0.250
Tl1 0.000 0.000 0.483
Se1 0.500 0.500 0.750
Tl2 0.000 0.000 0.017

***

[6]
Tl2ReSe: optimized geometry, PBE.

## Properties
The value obtained for the energy relative to the elements, uncorrected is 1.058 eV per atom. The energy above the most stable polymorph in this dataset comes out at 799 meV/atom. As for the space group: F-43m, No. 216.

a b c (Å): 5.032 5.032 5.032
angles (deg): 60.00 60.00 60.00
Each line ends with the local moment (μB).
Positions (direct):
Tl1 0.000 0.000 0.000  0.01
Re1 0.500 0.500 0.500  2.12
Se1 0.750 0.750 0.750  0.01
Tl2 0.250 0.250 0.250  0.01

***

[7]
Tl3ReSe: optimized geometry, PBE.

## Properties
The value obtained for the energy relative to the elements, uncorrected is 1.421 eV per atom. The energy above the most stable polymorph in this dataset comes out at 684 meV/atom. As for the space group: Pm-3m, No. 221.

a b c (Å): 5.754 5.754 5.754
angles (deg): 90.00 90.00 90.00
Each line ends with the local moment (μB).
Positions (direct):
Re1 0.500 0.500 0.500  3.70
Tl1 0.500 0.000 0.000  -0.01
Tl2 0.000 0.500 0.000  -0.03
Tl3 0.000 0.000 0.500  -0.02
Se1 0.000 0.000 0.000  0.04

***

[8]
TlRe2WSe: optimized geometry, PBE.

## Properties
The value obtained for the energy relative to the elements, uncorrected is 3.474 eV per atom. As for the space group: P4/mmm, No. 123.

a b c (Å): 4.973 4.942 4.973
angles (deg): 90.00 90.00 90.00
Each line ends with the local moment (μB).
Positions (direct):
Tl1 0.000 0.000 0.000  0.02
Se1 0.000 0.500 0.000  0.06
Re1 0.500 0.000 0.000  1.39
W1 0.500 0.500 0.500  0.34
Re2 0.000 0.000 0.500  1.66

***

[9]
Tm2ReSe: optimized geometry, PBE.

## Properties
The value obtained for the energy relative to the elements, uncorrected is 0.210 eV per atom. As for the space group: R-3m, No. 166.

a b c (Å): 3.412 3.412 9.393
angles (deg): 79.54 79.54 60.00
Each line ends with the local moment (μB).
Positions (direct):
Tm1 0.904 0.904 0.287  -0.03
Se1 0.500 0.500 0.500  0.01
Re1 0.000 0.000 0.000  0.73
Tm2 0.096 0.096 0.713  -0.03

***

[10]
U2ReSe: optimized geometry, PBE.

## Properties
The value obtained for the energy relative to the elements, uncorrected is -0.224 eV per atom. As for the space group: R-3m, No. 166.

a b c (Å): 3.938 3.938 7.235
angles (deg): 74.21 74.21 60.00
Each line ends with the local moment (μB).
Positions (direct):
U1 0.741 0.741 0.776  1.68
U2 0.259 0.259 0.224  1.68
Re1 0.000 0.000 0.000  -0.32
Se1 0.500 0.500 0.500  -0.05

***

[11]
URe4Se8: optimized geometry, PBE.

## Properties
The value obtained for the energy relative to the elements, uncorrected is -0.050 eV per atom. As for the space group: R-3m, No. 166.

a b c (Å): 7.563 7.563 7.210
angles (deg): 90.00 121.64 120.00
Each line ends with the local moment (μB).
Positions (direct):
Se1 0.994 0.237 0.232  -0.03
Re1 0.000 0.500 0.000  0.95
U1 0.000 0.500 0.500  1.41
Re2 0.000 0.000 0.000  0.06
Se2 0.508 0.254 0.762  0.04
Se3 0.475 0.237 0.232  -0.03
Se4 0.006 0.243 0.768  -0.03
Se5 0.006 0.763 0.768  -0.03
Re3 0.500 0.000 0.000  0.95
Se6 0.994 0.757 0.232  -0.03
Re4 0.500 0.500 0.000  0.95
Se7 0.492 0.746 0.238  0.04
Se8 0.525 0.763 0.768  -0.03

***

[12]
VRe2Se: optimized geometry, PBE.

## Properties
The value obtained for the energy relative to the elements, uncorrected is 0.622 eV per atom. As for the space group: I-42d, No. 122.

a b c (Å): 3.653 3.653 10.268
angles (deg): 79.75 79.75 90.00
Each line ends with the local moment (μB).
Positions (direct):
Re1 0.375 0.396 0.750  -0.11
V1 0.250 0.750 0.500  1.51
Re2 0.875 0.854 0.750  -0.11
Se1 0.750 0.250 0.500  -0.03
Re3 0.146 0.625 0.250  -0.11
V2 0.500 0.500 0.000  1.51
Se2 0.000 0.000 0.000  -0.03
Re4 0.604 0.125 0.250  -0.11

***

[13]
VRe2Se5: optimized geometry, PBE.

## Properties
The value obtained for the energy relative to the elements, uncorrected is 0.013 eV per atom. As for the space group: P1, No. 1.

a b c (Å): 5.861 6.566 6.857
angles (deg): 57.60 68.56 89.77
Positions (direct):
V1 0.955 0.913 0.076
Re1 0.548 0.992 0.029
Se1 0.672 0.079 0.302
Se2 0.333 0.787 0.902
Se3 0.239 0.243 0.018
Se4 0.940 0.207 0.645
Re2 0.962 0.432 0.227
Se5 0.574 0.570 0.354

***

[14]
V2Re2Se: optimized geometry, PBE.

## Properties
The value obtained for the energy relative to the elements, uncorrected is 0.470 eV per atom. The energy above the most stable polymorph in this dataset comes out at 38 meV/atom. As for the space group: I4/mmm, No. 139.

a b c (Å): 3.782 3.782 6.796
angles (deg): 73.84 73.84 90.00
Positions (direct):
Se1 0.000 0.000 0.000
Re1 0.750 0.250 0.500
V1 0.381 0.381 0.239
Re2 0.250 0.750 0.500
V2 0.619 0.619 0.761

***

[15]
VReSe2: optimized geometry, PBE.

## Properties
The value obtained for the energy relative to the elements, uncorrected is 0.275 eV per atom. The energy above the most stable polymorph in this dataset comes out at 182 meV/atom. As for the space group: I-42d, No. 122.

a b c (Å): 4.689 4.689 7.828
angles (deg): 72.57 72.57 90.00
Each line ends with the local moment (μB).
Positions (direct):
Se1 0.623 0.125 0.250  -0.03
Se2 0.127 0.625 0.250  -0.03
V1 0.500 0.500 0.000  1.13
Re1 0.750 0.250 0.500  -0.24
Re2 0.000 0.000 0.000  -0.24
V2 0.250 0.750 0.500  1.13
Se3 0.375 0.377 0.750  -0.03
Se4 0.875 0.873 0.750  -0.03

***

[16]
VReSe: optimized geometry, PBE.

## Properties
The value obtained for the energy relative to the elements, uncorrected is 0.147 eV per atom. As for the space group: P-6m2, No. 187.

a b c (Å): 3.090 3.090 11.099
angles (deg): 90.00 90.00 120.00
Positions (direct):
V1 0.611 0.223 0.000
Se1 0.611 0.222 0.654
V2 0.278 0.555 0.500
Re1 0.278 0.556 0.824
Se2 0.611 0.222 0.346
Re2 0.278 0.556 0.176

***

[17]
V2Re2Se: optimized geometry, PBE.

## Properties
The value obtained for the energy relative to the elements, uncorrected is 0.432 eV per atom. The energy above the most stable polymorph in this dataset comes out at 0 meV/atom. As for the space group: P4/mbm, No. 127.

a b c (Å): 7.509 7.509 2.820
angles (deg): 90.00 90.00 90.00
Positions (direct):
V1 0.152 0.348 0.000
Se1 0.000 0.000 0.000
Re1 0.362 0.138 0.500
Se2 0.500 0.500 0.000
Re2 0.862 0.362 0.500
V2 0.348 0.848 0.000
Re3 0.138 0.638 0.500
V3 0.848 0.652 0.000
Re4 0.638 0.862 0.500
V4 0.652 0.152 0.000

***

[18]
VReSe3: optimized geometry, PBE.

## Properties
The value obtained for the energy relative to the elements, uncorrected is 0.763 eV per atom. The energy above the most stable polymorph in this dataset comes out at 0 meV/atom. As for the space group: Pm-3m, No. 221.

a b c (Å): 4.903 4.903 4.903
angles (deg): 90.00 90.00 90.00
Each line ends with the local moment (μB).
Positions (direct):
Se1 0.000 0.000 0.500  -0.10
Se2 0.500 0.000 0.000  -0.10
Re1 0.000 0.000 0.000  0.91
V1 0.500 0.500 0.500  3.03
Se3 0.000 0.500 0.000  -0.10

***

[19]
VReSe2: optimized geometry, PBE.

## Properties
The value obtained for the energy relative to the elements, uncorrected is 0.213 eV per atom. The energy above the most stable polymorph in this dataset comes out at 120 meV/atom. As for the space group: Fm-3m, No. 225.

a b c (Å): 4.391 4.391 4.391
angles (deg): 60.00 60.00 60.00
Positions (direct):
Se1 0.750 0.750 0.750
Se2 0.250 0.250 0.250
V1 0.000 0.000 0.000
Re1 0.500 0.500 0.500

***

[20]
VReSe2: optimized geometry, PBE.

## Properties
The value obtained for the energy relative to the elements, uncorrected is 0.093 eV per atom. The energy above the most stable polymorph in this dataset comes out at 0 meV/atom. As for the space group: R-3m, No. 166.

a b c (Å): 8.501 8.501 8.501
angles (deg): 20.56 20.56 20.56
Positions (direct):
Se1 0.902 0.902 0.902
Se2 0.098 0.098 0.098
Re1 0.000 0.000 0.000
V1 0.500 0.500 0.500